Entry 1:
Here is an optimized crystal structure of Pm2InTcO8 from Alexandria. Energies are from GGA-PBE.

Summary:
Energy: -87.72 eV/f.u.
E_form (uncorrected): -2121 meV/atom
Total magnetic moment: 0.00 Bohr magnetons per cell

a b c (Å): 4.770 5.067 7.111
angles (deg): 92.09 91.69 94.20
Space group P-1 (No. 2)
One atom of each set of equivalent atoms:
Pm 0.075 0.022 0.256
In 0.500 0.500 0.000
Tc 0.500 0.500 0.500
O 0.192 0.257 0.539
O 0.204 0.201 0.978
O 0.309 0.635 0.281
O 0.362 0.747 0.676

***

Entry 2:
Here is an optimized crystal structure of CuNi14W from Alexandria. Energies are from GGA-PBE.

Summary:
Energy: -97.97 eV/f.u.
D(E_F): 26.79 states/eV/cell
E_form: 0.0013 eV per atom
Total magnetic moment: 5.97 Bohr magnetons per cell

a b c (Å): 5.046 5.046 7.059
angles (deg): 90.00 90.00 90.00
Space group P4/mmm (No. 123)
One atom of each set of equivalent atoms:
Cu 0.000 0.000 0.000
Ni 0.000 0.000 0.500
Ni 0.000 0.500 0.000
Ni 0.000 0.500 0.500
Ni 0.250 0.250 0.253
Ni 0.500 0.500 0.500
W 0.500 0.500 0.000

***

Entry 3:
Here is an optimized crystal structure of Dy5Y4Sc4 from Alexandria. Energies are from GGA-PBE.

Summary:
Energy: -73.57 eV/f.u.
D(E_F): 41.62 states/eV/cell
E_form: 0.0479 eV per atom
Total magnetic moment: 0.00 Bohr magnetons per cell

a b c (Å): 12.486 12.486 4.906
angles (deg): 90.00 90.00 90.00
Space group I4/m (No. 87)
One atom of each set of equivalent atoms:
Dy 0.000 0.000 0.000
Dy 0.043 0.809 0.500
Y 0.080 0.619 0.000
Sc 0.155 0.232 0.000

***

Entry 4:
Here is an optimized crystal structure of Dy5Pt2Rh2 from Alexandria. Energies are from GGA-PBE.

Summary:
Energy: -58.70 eV/f.u.
D(E_F): 17.52 states/eV/cell
E_form: -0.9895 eV per atom
Total magnetic moment: 0.00 Bohr magnetons per cell

a b c (Å): 14.735 7.452 7.502
angles (deg): 90.00 90.00 90.00
Space group Cmce (No. 64)
One atom of each set of equivalent atoms:
Dy 0.000 0.000 0.000
Dy 0.136 0.172 0.332
Pt 0.203 0.000 0.000
Rh 0.000 0.132 0.630

***

Entry 5:
Here is an optimized crystal structure of AlPCl2 from Alexandria. Energies are from GGA-PBE.

Summary:
Energy: -10.86 eV/f.u.
Energy above the lowest structure with this stoichiometry: 1.1405 eV/atom
D(E_F): 13.53 states/eV/cell
E_form (uncorrected): 495 meV/atom
Total magnetic moment: 5.25 Bohr magnetons per cell

a b c (Å): 6.828 6.828 6.828
angles (deg): 90.00 90.00 90.00
Space group Fm-3m (No. 225)
One atom of each set of equivalent atoms:
Al 0.000 0.000 0.000
P 0.000 0.000 0.500
Cl 0.250 0.250 0.250

***

Entry 6:
Here is an optimized crystal structure of ReNi from Alexandria. Energies are from GGA-PBE.

Summary:
Energy: -15.50 eV/f.u.
D(E_F): 3.68 states/eV/cell
E_form: 1.3624 eV per atom
Total magnetic moment: 0.00 Bohr magnetons per cell

a b c (Å): 4.0595 4.0595 4.7812
angles (deg): 90.00 90.00 120.00
Space group P6_3/mmc (No. 194)
One atom of each set of equivalent atoms:
Re 0.3333 0.6667 0.2500
Ni 0.3333 0.6667 0.7500

***

Entry 7:
Here is an optimized crystal structure of In2PBr2 from Alexandria. Energies are from GGA-PBE.

Summary:
Energy: -14.78 eV/f.u.
D(E_F): 0.41 states/eV/cell
E_form (uncorrected): -110 meV/atom
Total magnetic moment: 2.00 Bohr magnetons per cell

a b c (Å): 7.288 7.288 5.002
angles (deg): 90.00 90.00 90.00
Space group P4/mbm (No. 127)
One atom of each set of equivalent atoms:
In 0.154 0.346 0.000
P 0.000 0.000 0.000
Br 0.190 0.690 0.500

***

Entry 8:
Here is an optimized crystal structure of Ce4Zn3In2 from Alexandria. Energies are from GGA-PBE.

Summary:
Energy: -35.31 eV/f.u.
D(E_F): 37.58 states/eV/cell
E_form: -0.2523 eV per atom
Total magnetic moment: 6.70 Bohr magnetons per cell

a b c (Å): 10.311 4.777 9.326
angles (deg): 90.00 111.62 90.00
Space group C2/m (No. 12)
One atom of each set of equivalent atoms:
Ce 0.035 0.000 0.369
Ce 0.173 0.500 0.914
Zn 0.000 0.000 0.000
Zn 0.143 0.500 0.569
In 0.195 0.500 0.267

***

Entry 9:
Here is an optimized crystal structure of K2ReAg from Alexandria. Energies are from GGA-PBE.

Summary:
Energy: -12.63 eV/f.u.
Energy above the lowest structure with this stoichiometry: 0.2344 eV/atom
D(E_F): 3.89 states/eV/cell
E_form: 1.2173 eV per atom
Total magnetic moment: 1.36 Bohr magnetons per cell

a b c (Å): 11.602 2.770 5.701
angles (deg): 90.00 95.13 90.00
Space group C2/m (No. 12)
One atom of each set of equivalent atoms:
K 0.250 0.000 0.249
Re 0.000 0.500 0.000
Ag 0.000 0.000 0.500